# CuRe2Mo, optimized geometry, DFT PBE-GGA
data_CuRe2Mo
_chemical_formula_sum 'Cu1 Re2 Mo1'
_cell_length_a 4.807
_cell_length_b 4.807
_cell_length_c 4.592
_cell_angle_alpha 77.91
_cell_angle_beta 77.91
_cell_angle_gamma 34.59
_symmetry_space_group_name_H-M 'P 1'
_symmetry_Int_Tables_number 1
loop_
_symmetry_equiv_pos_as_xyz
'x,y,z'
loop_
_atom_site_label
_atom_site_fract_x
_atom_site_fract_y
_atom_site_fract_z
Mo1 0.253 0.253 0.252
Re1 0.003 0.003 0.992
Re2 0.746 0.746 0.758
Cu1 0.498 0.498 0.498
# Final energy in eV per atom: -9.694
# Crystal system: monoclinic
# SG: Cm (8)

***

# ZnCuIrW, optimized geometry, DFT PBE-GGA
data_ZnCuIrW
_chemical_formula_sum 'Zn1 Cu1 Ir1 W1'
_cell_length_a 4.326
_cell_length_b 4.326
_cell_length_c 4.326
_cell_angle_alpha 60.00
_cell_angle_beta 60.00
_cell_angle_gamma 60.00
_symmetry_space_group_name_H-M 'P 1'
_symmetry_Int_Tables_number 1
loop_
_symmetry_equiv_pos_as_xyz
'x,y,z'
loop_
_atom_site_label
_atom_site_fract_x
_atom_site_fract_y
_atom_site_fract_z
W1 0.500 0.500 0.500
Zn1 0.000 0.000 0.000
Cu1 0.250 0.250 0.250
Ir1 0.750 0.750 0.750
# Final energy in eV per atom: -6.764
# Crystal system: cubic
# SG: F-43m (216)

***

The evaluated ρ for the records listed, in turn: 15.0 14.7 g cm⁻³.
The evaluated total moment for the records listed, in turn: 0.0 0.0 μB/f.u..
The evaluated calculated volume for the records listed, in turn: 14.7 14.3 A^3/atom.